# TaIn2Ni

A relaxed TaIn2Ni crystal (PBE-GGA, Alexandria).

The structure in CIF format:
```
data_TaIn2Ni
_cell_length_a 3.0608
_cell_length_b 3.0608
_cell_length_c 8.0807
_cell_angle_alpha 90.00
_cell_angle_beta 90.00
_cell_angle_gamma 90.00
_symmetry_space_group_name_H-M 'P 1'
_symmetry_Int_Tables_number 1
_symmetry_space_group_name_Hall 'P 1'
loop_
_atom_site_label
_atom_site_fract_x
_atom_site_fract_y
_atom_site_fract_z
_atom_site_occupancy
Ni1 0.0000 0.0000 0.5210 1
In1 0.0000 0.0000 0.9717 1
In2 0.5000 0.5000 0.3032 1
Ta1 0.5000 0.5000 0.7041 1
```

=====

# TaIn2Ni

A relaxed TaIn2Ni crystal (PBE-GGA, Alexandria).

The structure in CIF format:
```
data_TaIn2Ni
_cell_length_a 4.1943
_cell_length_b 4.1945
_cell_length_c 4.0705
_cell_angle_alpha 90.00
_cell_angle_beta 90.00
_cell_angle_gamma 90.00
_symmetry_space_group_name_H-M 'P 1'
_symmetry_Int_Tables_number 1
_symmetry_space_group_name_Hall 'P 1'
loop_
_atom_site_label
_atom_site_fract_x
_atom_site_fract_y
_atom_site_fract_z
_atom_site_occupancy
Ta1 0.0000 0.5000 0.5000 1
In1 0.0000 0.0000 0.0000 1
In2 0.5000 0.5000 0.0000 1
Ni1 0.5000 0.0000 0.5000 1
```

=====

# TaIn2Ni

A relaxed TaIn2Ni crystal (PBE-GGA, Alexandria).

The structure in CIF format:
```
data_TaIn2Ni
_cell_length_a 5.6107
_cell_length_b 5.6107
_cell_length_c 5.6107
_cell_angle_alpha 148.97
_cell_angle_beta 125.72
_cell_angle_gamma 63.85
_symmetry_space_group_name_H-M 'P 1'
_symmetry_Int_Tables_number 1
_symmetry_space_group_name_Hall 'P 1'
loop_
_atom_site_label
_atom_site_fract_x
_atom_site_fract_y
_atom_site_fract_z
_atom_site_occupancy
Ta1 0.2500 0.7500 0.5000 1
In1 0.9728 0.9728 0.0000 1
In2 0.5272 0.5272 0.0000 1
Ni1 0.7500 0.2500 0.5000 1
```

=====

# TaIn2Ni

A relaxed TaIn2Ni crystal (PBE-GGA, Alexandria).

The structure in CIF format:
```
data_TaIn2Ni
_cell_length_a 9.1783
_cell_length_b 9.1783
_cell_length_c 9.1783
_cell_angle_alpha 19.25
_cell_angle_beta 19.25
_cell_angle_gamma 19.25
_symmetry_space_group_name_H-M 'P 1'
_symmetry_Int_Tables_number 1
_symmetry_space_group_name_Hall 'P 1'
loop_
_atom_site_label
_atom_site_fract_x
_atom_site_fract_y
_atom_site_fract_z
_atom_site_occupancy
In1 0.9917 0.9917 0.9917 1
In2 0.5083 0.5083 0.5083 1
Ta1 0.7500 0.7500 0.7500 1
Ni1 0.2500 0.2500 0.2500 1
```

=====

# TaIn2Ni

A relaxed TaIn2Ni crystal (PBE-GGA, Alexandria).

The structure in CIF format:
```
data_TaIn2Ni
_cell_length_a 5.2849
_cell_length_b 5.2849
_cell_length_c 5.2849
_cell_angle_alpha 134.83
_cell_angle_beta 134.83
_cell_angle_gamma 65.80
_symmetry_space_group_name_H-M 'P 1'
_symmetry_Int_Tables_number 1
_symmetry_space_group_name_Hall 'P 1'
loop_
_atom_site_label
_atom_site_fract_x
_atom_site_fract_y
_atom_site_fract_z
_atom_site_occupancy
In1 0.0000 0.0000 0.0000 1
In2 0.2500 0.7500 0.5000 1
Ta1 0.7500 0.2500 0.5000 1
Ni1 0.5000 0.5000 0.0000 1
```

=====

# TaInNi6

A relaxed TaInNi6 crystal (PBE-GGA, Alexandria).

The structure in CIF format:
```
data_TaInNi6
_cell_length_a 6.4113
_cell_length_b 6.4113
_cell_length_c 10.4915
_cell_angle_alpha 90.00
_cell_angle_beta 90.00
_cell_angle_gamma 109.56
_symmetry_space_group_name_H-M 'P 1'
_symmetry_Int_Tables_number 1
_symmetry_space_group_name_Hall 'P 1'
loop_
_atom_site_label
_atom_site_fract_x
_atom_site_fract_y
_atom_site_fract_z
_atom_site_occupancy
Ni1 0.1213 0.3670 0.8790 1
Ni2 0.1194 0.3725 0.1286 1
Ni3 0.2463 0.7537 0.4935 1
Ni4 0.1194 0.3725 0.3714 1
Ni5 0.2463 0.7537 0.0065 1
Ni6 0.8787 0.6330 0.8790 1
Ni7 0.3670 0.1213 0.8790 1
Ni8 0.5000 0.5000 0.2500 1
Ni9 0.3670 0.1213 0.6210 1
Ni10 0.6330 0.8787 0.6210 1
Ni11 0.0000 0.0000 0.7500 1
Ni12 0.1213 0.3670 0.6210 1
Ni13 0.8806 0.6275 0.3714 1
Ni14 0.3725 0.1194 0.3714 1
Ni15 0.0000 0.0000 0.2500 1
Ni16 0.7537 0.2463 0.4935 1
Ni17 0.8787 0.6330 0.6210 1
Ni18 0.7537 0.2463 0.0065 1
Ni19 0.6275 0.8806 0.1286 1
Ni20 0.6275 0.8806 0.3714 1
Ni21 0.6330 0.8787 0.8790 1
Ni22 0.3725 0.1194 0.1286 1
Ni23 0.8806 0.6275 0.1286 1
Ni24 0.5000 0.5000 0.7500 1
In1 0.5000 0.5000 0.0001 1
In2 0.2514 0.7486 0.7500 1
In3 0.7486 0.2514 0.7500 1
In4 0.5000 0.5000 0.4999 1
Ta1 0.2477 0.7523 0.2500 1
Ta2 0.0000 0.0000 0.9982 1
Ta3 0.7523 0.2477 0.2500 1
Ta4 0.0000 0.0000 0.5018 1
```

=====

# TaIn3Ni PBE-GGA optimized geometry
# **ΔE to the lowest computed polymorph**: 0 meV/atom
data_TaIn3Ni
_cell_length_a 4.8200
_cell_length_b 4.8200
_cell_length_c 4.8200
_cell_angle_alpha 90.00
_cell_angle_beta 90.00
_cell_angle_gamma 90.00
_symmetry_space_group_name_H-M 'P 1'
_symmetry_Int_Tables_number 1
_symmetry_space_group_name_Hall 'P 1'
loop_
_atom_site_label
_atom_site_fract_x
_atom_site_fract_y
_atom_site_fract_z
_atom_site_occupancy
Ni1 0.0000 0.0000 0.0000 1
In1 0.0000 0.0000 0.5000 1
In2 0.5000 0.0000 0.0000 1
In3 0.0000 0.5000 0.0000 1
Ta1 0.5000 0.5000 0.5000 1

=====

# TaIn2Ni

A relaxed TaIn2Ni crystal (PBE-GGA, Alexandria).

The structure in CIF format:
```
data_TaIn2Ni
_cell_length_a 6.0175
_cell_length_b 6.0175
_cell_length_c 6.0175
_cell_angle_alpha 151.66
_cell_angle_beta 132.69
_cell_angle_gamma 56.07
_symmetry_space_group_name_H-M 'P 1'
_symmetry_Int_Tables_number 1
_symmetry_space_group_name_Hall 'P 1'
loop_
_atom_site_label
_atom_site_fract_x
_atom_site_fract_y
_atom_site_fract_z
_atom_site_occupancy
Ni1 0.4841 0.4841 0.0000 1
In1 0.0124 0.0124 0.0000 1
In2 0.7182 0.2182 0.5000 1
Ta1 0.2852 0.7852 0.5000 1
```

=====

# TaIn2Ni

A relaxed TaIn2Ni crystal (PBE-GGA, Alexandria).

The structure in CIF format:
```
data_TaIn2Ni
_cell_length_a 4.7054
_cell_length_b 4.7054
_cell_length_c 4.7054
_cell_angle_alpha 60.00
_cell_angle_beta 60.00
_cell_angle_gamma 60.00
_symmetry_space_group_name_H-M 'P 1'
_symmetry_Int_Tables_number 1
_symmetry_space_group_name_Hall 'P 1'
loop_
_atom_site_label
_atom_site_fract_x
_atom_site_fract_y
_atom_site_fract_z
_atom_site_occupancy
In1 0.2500 0.2500 0.2500 1
In2 0.0000 0.0000 0.0000 1
Ta1 0.7500 0.7500 0.7500 1
Ni1 0.5000 0.5000 0.5000 1
```

=====

# TaInNi4 PBE-GGA optimized geometry
# **ΔE to the lowest computed polymorph**: 458 meV/atom
data_TaInNi4
_cell_length_a 6.5796
_cell_length_b 6.5796
_cell_length_c 6.3835
_cell_angle_alpha 121.02
_cell_angle_beta 121.02
_cell_angle_gamma 90.00
_symmetry_space_group_name_H-M 'P 1'
_symmetry_Int_Tables_number 1
_symmetry_space_group_name_Hall 'P 1'
loop_
_atom_site_label
_atom_site_fract_x
_atom_site_fract_y
_atom_site_fract_z
_atom_site_occupancy
Ta1 0.2500 0.7500 0.5000 1
Ta2 0.0000 0.0000 0.0000 1
Ni1 0.9075 0.8926 0.5175 1
Ni2 0.3425 0.8574 0.9825 1
Ni3 0.1426 0.3600 0.0175 1
Ni4 0.8749 0.6575 0.0175 1
Ni5 0.3751 0.0925 0.4825 1
Ni6 0.6100 0.6249 0.5175 1
Ni7 0.1074 0.3900 0.4825 1
Ni8 0.6400 0.1251 0.9825 1
In1 0.5000 0.5000 0.0000 1
In2 0.7500 0.2500 0.5000 1

=====

# TaIn2Ni

A relaxed TaIn2Ni crystal (PBE-GGA, Alexandria).

The structure in CIF format:
```
data_TaIn2Ni
_cell_length_a 5.2845
_cell_length_b 5.2845
_cell_length_c 5.2845
_cell_angle_alpha 134.70
_cell_angle_beta 134.70
_cell_angle_gamma 66.00
_symmetry_space_group_name_H-M 'P 1'
_symmetry_Int_Tables_number 1
_symmetry_space_group_name_Hall 'P 1'
loop_
_atom_site_label
_atom_site_fract_x
_atom_site_fract_y
_atom_site_fract_z
_atom_site_occupancy
Ni1 0.2500 0.7500 0.5000 1
In1 0.5000 0.5000 0.0000 1
In2 0.0000 0.0000 0.0000 1
Ta1 0.7500 0.2500 0.5000 1
```

=====

# TaIn2Ni

A relaxed TaIn2Ni crystal (PBE-GGA, Alexandria).

The structure in CIF format:
```
data_TaIn2Ni
_cell_length_a 3.0370
_cell_length_b 3.0374
_cell_length_c 7.6526
_cell_angle_alpha 90.00
_cell_angle_beta 90.00
_cell_angle_gamma 90.00
_symmetry_space_group_name_H-M 'P 1'
_symmetry_Int_Tables_number 1
_symmetry_space_group_name_Hall 'P 1'
loop_
_atom_site_label
_atom_site_fract_x
_atom_site_fract_y
_atom_site_fract_z
_atom_site_occupancy
Ni1 0.5000 0.5000 0.2500 1
Ta1 0.5000 0.5000 0.7500 1
In1 0.0000 0.0000 0.0330 1
In2 0.0000 0.0000 0.4670 1
```

=====

DFT formation energy, respectively: 0.0642, 0.1828, 0.2452, 0.2028, 0.2934, -0.2418, 0.7389, 0.1995, 0.4792, 0.2882, 0.3809, 0.0847 eV/atom.